<one>
A plane-wave DFT calculation with SCAN was carried out for NbTc3Pt at its PBEsol-relaxed geometry.

The calculation puts the total magnetization at 0.000 μB per cell.

It has space group Pm-3m (No. 221), with a = 4.5711 Å, b = 4.5711 Å, c = 4.5711 Å, α = 90.00°, β = 90.00° and γ = 90.00°. The inequivalent atoms are Nb at (0.0000, 0.0000, 0.0000), Tc at (0.0000, 0.0000, 0.5000) and Pt at (0.5000, 0.5000, 0.5000).



<two>
A plane-wave DFT calculation with SCAN was carried out for NbTc3Pt at its PBEsol-relaxed geometry.

The calculation puts the total magnetization at 0.014 μB per cell.

It has space group Pm-3m (No. 221), with a = 4.6066 Å, b = 4.6066 Å, c = 4.6066 Å, α = 90.00°, β = 90.00° and γ = 90.00°. The inequivalent atoms are Nb at (0.0000, 0.0000, 0.0000), Tc at (0.0000, 0.5000, 0.5000) and Pt at (0.5000, 0.5000, 0.5000).



Which of them is the least stable? Correct choice: <one>.



<one>
A plane-wave DFT calculation with SCAN was carried out for Nb3SbRu at its PBEsol-relaxed geometry.

The calculation puts the total magnetization at 0.000 μB per cell.

It has space group Pm-3m (No. 221), with a = 4.7662 Å, b = 4.7662 Å, c = 4.7662 Å, α = 90.00°, β = 90.00° and γ = 90.00°. The inequivalent atoms are Nb at (0.0000, 0.0000, 0.5000), Sb at (0.5000, 0.5000, 0.5000) and Ru at (0.0000, 0.0000, 0.0000).



<two>
A plane-wave DFT calculation with SCAN was carried out for Nb3SbRu at its PBEsol-relaxed geometry.

The calculation puts the total magnetization at 0.002 μB per cell.

It has space group Pm-3m (No. 221), with a = 4.8846 Å, b = 4.8846 Å, c = 4.8846 Å, α = 90.00°, β = 90.00° and γ = 90.00°. The inequivalent atoms are Nb at (0.0000, 0.0000, 0.5000), Sb at (0.0000, 0.0000, 0.0000) and Ru at (0.5000, 0.5000, 0.5000).



Which of them is the least stable? Correct choice: <two>.



<one>
A plane-wave DFT calculation with SCAN was carried out for Y2NbRu2 at its PBEsol-relaxed geometry.

The calculation puts the total magnetization at 0.000 μB per cell.

It has space group I4/mmm (No. 139), with a = 3.4039 Å, b = 3.4039 Å, c = 18.5736 Å, α = 90.00°, β = 90.00° and γ = 90.00°. The inequivalent atoms are Y at (0.0000, 0.0000, 0.1141), Nb at (0.0000, 0.0000, 0.5000) and Ru at (0.0000, 0.5000, 0.2500).



<two>
A plane-wave DFT calculation with SCAN was carried out for Y2NbRu2 at its PBEsol-relaxed geometry.

The calculation puts the total magnetization at 0.000 μB per cell.

It has space group P4/mbm (No. 127), with a = 6.5992 Å, b = 6.5992 Å, c = 4.6611 Å, α = 90.00°, β = 90.00° and γ = 90.00°. The inequivalent atoms are Y at (0.1788, 0.3212, 0.0000), Nb at (0.0000, 0.0000, 0.5000) and Ru at (0.1319, 0.6319, 0.5000).



Which of them is the least stable? Correct choice: <one>.



<one>
A plane-wave DFT calculation with SCAN was carried out for ZrNbSb2 at its PBEsol-relaxed geometry.

The calculation puts the total magnetization at 10.231 μB per cell.

It has space group I-42d (No. 122), with a = 6.1381 Å, b = 6.1381 Å, c = 13.5079 Å, α = 90.00°, β = 90.00° and γ = 90.00°. The inequivalent atoms are Zr at (0.0000, 0.0000, 0.0000), Nb at (0.0000, 0.0000, 0.5000) and Sb at (0.2340, 0.2500, 0.6250).



<two>
A plane-wave DFT calculation with SCAN was carried out for ZrNbSb2 at its PBEsol-relaxed geometry.

The calculation puts the total magnetization at 0.000 μB per cell.

It has space group Fm-3m (No. 225), with a = 6.8902 Å, b = 6.8902 Å, c = 6.8902 Å, α = 90.00°, β = 90.00° and γ = 90.00°. The inequivalent atoms are Zr at (0.0000, 0.0000, 0.0000), Nb at (0.0000, 0.0000, 0.5000) and Sb at (0.2500, 0.2500, 0.2500).



Which of them is the least stable? Correct choice: <one>.



<one>
A plane-wave DFT calculation with SCAN was carried out for Nb5Si3 at its PBEsol-relaxed geometry.

The calculation puts the total magnetization at 0.000 μB per cell.

It has space group P6_3/mcm (No. 193), with a = 7.5168 Å, b = 7.5168 Å, c = 5.2439 Å, α = 90.00°, β = 90.00° and γ = 120.00°. The inequivalent atoms are Nb at (0.0000, 0.2495, 0.2500), Nb at (0.3333, 0.6667, 0.0000) and Si at (0.0000, 0.3933, 0.7500).



<two>
A plane-wave DFT calculation with SCAN was carried out for Nb5Si3 at its PBEsol-relaxed geometry.

The calculation puts the total magnetization at 0.000 μB per cell.

It has space group I4/mcm (No. 140), with a = 10.0008 Å, b = 10.0008 Å, c = 5.0515 Å, α = 90.00°, β = 90.00° and γ = 90.00°. The inequivalent atoms are Nb at (0.0000, 0.5000, 0.2500), Nb at (0.0764, 0.2194, 0.0000), Si at (0.0000, 0.0000, 0.2500) and Si at (0.1647, 0.3353, 0.5000).



Which of them is the least stable? Correct choice: <one>.



<one>
A plane-wave DFT calculation with SCAN was carried out for SrNbTe3 at its PBEsol-relaxed geometry.

The calculation puts the total magnetization at 1.187 μB per cell.

It has space group Pm-3m (No. 221), with a = 5.8511 Å, b = 5.8511 Å, c = 5.8511 Å, α = 90.00°, β = 90.00° and γ = 90.00°. The inequivalent atoms are Sr at (0.0000, 0.0000, 0.0000), Nb at (0.5000, 0.5000, 0.5000) and Te at (0.0000, 0.0000, 0.5000).



<two>
A plane-wave DFT calculation with SCAN was carried out for SrNbTe3 at its PBEsol-relaxed geometry.

The calculation puts the total magnetization at 0.000 μB per cell.

It has space group Pm-3m (No. 221), with a = 5.4392 Å, b = 5.4392 Å, c = 5.4392 Å, α = 90.00°, β = 90.00° and γ = 90.00°. The inequivalent atoms are Sr at (0.0000, 0.0000, 0.0000), Nb at (0.5000, 0.5000, 0.5000) and Te at (0.0000, 0.5000, 0.5000).



Which of them is the least stable? Correct choice: <one>.



<one>
A plane-wave DFT calculation with SCAN was carried out for YTa3Nb at its PBEsol-relaxed geometry.

The calculation puts the total magnetization at 0.000 μB per cell.

It has space group Pm-3m (No. 221), with a = 4.7644 Å, b = 4.7644 Å, c = 4.7644 Å, α = 90.00°, β = 90.00° and γ = 90.00°. The inequivalent atoms are Y at (0.0000, 0.0000, 0.0000), Ta at (0.0000, 0.0000, 0.5000) and Nb at (0.5000, 0.5000, 0.5000).



<two>
A plane-wave DFT calculation with SCAN was carried out for YTa3Nb at its PBEsol-relaxed geometry.

The calculation puts the total magnetization at 0.000 μB per cell.

It has space group Pm-3m (No. 221), with a = 4.8797 Å, b = 4.8797 Å, c = 4.8797 Å, α = 90.00°, β = 90.00° and γ = 90.00°. The inequivalent atoms are Y at (0.0000, 0.0000, 0.0000), Ta at (0.0000, 0.5000, 0.5000) and Nb at (0.5000, 0.5000, 0.5000).



Which of them is the least stable? Correct choice: <one>.



<one>
A plane-wave DFT calculation with SCAN was carried out for Nd at its PBEsol-relaxed geometry.

The calculation puts the total magnetization at 0.002 μB per cell.

It has space group R-3m (No. 166, hexagonal axes), with a = 3.6233 Å, b = 3.6233 Å, c = 26.1906 Å, α = 90.00°, β = 90.00° and γ = 120.00°. The inequivalent atoms are Nd at (0.0000, 0.0000, 0.0000) and Nd at (0.0000, 0.0000, 0.2229).



<two>
A plane-wave DFT calculation with SCAN was carried out for Nd at its PBEsol-relaxed geometry.

The calculation puts the total magnetization at 0.128 μB per cell.

It has space group P6_3/mmc (No. 194), with a = 3.6070 Å, b = 3.6070 Å, c = 5.8788 Å, α = 90.00°, β = 90.00° and γ = 120.00°. The inequivalent atoms are Nd at (0.3333, 0.6667, 0.2500).



Which of them is the least stable? Correct choice: <two>.